[1]
The following is a PBE calculation of crystalline Ac12Si6O at its relaxed geometry, from Alexandria.

The structure in POSCAR format:
```
Ac12Si6O
1.0
6.770 3.909 4.221
-6.770 3.909 4.221
0.000 -7.817 4.221
Ac Si O
12 6 1
Direct
0.027 0.927 0.690
0.073 0.310 0.973
0.183 0.564 0.425
0.310 0.973 0.073
0.425 0.183 0.564
0.436 0.575 0.817
0.564 0.425 0.183
0.575 0.817 0.436
0.690 0.027 0.927
0.817 0.436 0.575
0.927 0.690 0.027
0.973 0.073 0.310
0.124 0.293 0.630
0.293 0.630 0.124
0.370 0.876 0.707
0.630 0.124 0.293
0.707 0.370 0.876
0.876 0.707 0.370
0.000 0.000 0.000
```

Output
Its uncorrected formation energy is -0.527 eV per atom. The calculation puts the spin magnetization at 0.00 μB per formula unit. The symmetry is R-3 (148).



[2]
The following is a PBE calculation of crystalline Hf2ZrNbC at its relaxed geometry, from Alexandria.

The structure in POSCAR format:
```
Hf2ZrNbC
1.0
4.561 0.000 0.000
0.000 4.561 0.000
0.000 0.000 4.432
Hf Zr Nb C
2 1 1 1
Direct
0.000 0.500 0.000
0.500 0.000 0.000
0.000 0.000 0.500
0.500 0.500 0.500
0.500 0.500 0.000
```

Output
Its formation energy is -234 meV/atom. The calculation puts the spin magnetization at 0.00 μB per formula unit. The symmetry is P4/mmm (123). Its energy above the most stable polymorph in this dataset is 0 meV per atom.



[3]
The following is a PBE calculation of crystalline MnTcMo2Se at its relaxed geometry, from Alexandria.

The structure in POSCAR format:
```
MnTcMo2Se
1.0
4.717 0.000 0.000
0.000 4.717 0.000
0.000 0.000 4.675
Mn Tc Mo Se
1 1 2 1
Direct
0.000 0.000 0.000
0.500 0.500 0.500
0.000 0.500 0.500
0.500 0.000 0.500
0.500 0.500 0.000
```

Output
Its uncorrected formation energy is 1.878 eV per atom. The calculation puts the spin magnetization at 1.18 μB per formula unit. The symmetry is P4/mmm (123).



[4]
The following is a PBE calculation of crystalline TlTcI6 at its relaxed geometry, from Alexandria.

The structure in POSCAR format:
```
TlTcI6
1.0
9.429 0.000 0.000
0.000 11.114 0.000
-3.037 0.000 7.326
Tl Tc I
2 2 12
Direct
0.000 0.000 0.000
0.500 0.500 0.000
0.000 0.000 0.500
0.500 0.500 0.500
0.123 0.173 0.762
0.123 0.827 0.762
0.243 0.500 0.581
0.257 0.000 0.419
0.377 0.327 0.238
0.377 0.673 0.238
0.623 0.327 0.762
0.623 0.673 0.762
0.743 0.000 0.581
0.757 0.500 0.419
0.877 0.173 0.238
0.877 0.827 0.238
```

Output
Its uncorrected formation energy is -0.168 eV per atom. The calculation puts the spin magnetization at 2.11 μB per formula unit. The symmetry is C2/m (12).



[5]
The following is a PBE calculation of crystalline KHgPb2F8 at its relaxed geometry, from Alexandria.

The structure in POSCAR format:
```
KHgPb2F8
1.0
4.171 0.000 0.000
0.000 5.837 0.000
0.000 0.000 8.173
K Hg Pb F
1 1 2 8
Direct
0.000 0.000 0.000
0.000 0.000 0.500
0.500 0.500 0.250
0.500 0.500 0.750
0.000 0.264 0.273
0.000 0.264 0.727
0.000 0.736 0.273
0.000 0.736 0.727
0.500 0.249 0.500
0.500 0.280 0.000
0.500 0.720 0.000
0.500 0.751 0.500
```

Output
Its uncorrected formation energy is -2.118 eV per atom. The calculation puts the spin magnetization at 0.00 μB per formula unit. The symmetry is Pmmm (47).



[6]
The following is a PBE calculation of crystalline VPSeBr2 at its relaxed geometry, from Alexandria.

The structure in POSCAR format:
```
VPSeBr2
1.0
4.962 0.000 0.000
0.000 4.962 0.000
0.000 0.000 5.168
V P Se Br
1 1 1 2
Direct
0.000 0.000 0.000
0.500 0.500 0.500
0.500 0.500 0.000
0.000 0.500 0.500
0.500 0.000 0.500
```

Output
Its uncorrected formation energy is 0.532 eV per atom. The calculation puts the spin magnetization at 3.47 μB per formula unit. The symmetry is P4/mmm (123). Its energy above the most stable polymorph in this dataset is 153 meV per atom.